A plane-wave DFT calculation with PBE-GGA was carried out for a geometry-optimized Ti2TcAgPb structure.

## Properties
The calculation puts the total energy at -4.8713 eV/atom. As for the size of the total moment: 0.00 Bohr magnetons per cell. The value obtained for the density of states at the Fermi level is 0.926 states/eV per atom.

a = 5.068 Å, b = 4.988 Å, c = 5.068 Å
α = 90.00°, β = 90.00°, γ = 90.00°
Atoms (fractional coordinates):
Pb  0.000  0.000  0.000
Tc  0.000  0.500  0.000
Ag  0.500  0.500  0.500
Ti  0.000  0.000  0.500
Ti  0.500  0.000  0.000